# YNbSbI2

A relaxed structure of YNbSbI2 (PBE, Alexandria).

Output
Volume ... 204 Å³/f.u.
Electronic total energy ... -21.15 eV for the cell shown

a b c (Å): 5.7880 5.7880 6.0765
angles (deg): 90.00 90.00 90.00
Last column: nearest neighbours and their distance in Å.
Space group P4/mmm (No. 123)
Symmetry-distinct sites (fractional):
Y  0.0000  0.0000  0.0000 [1 per cell]  4 I 2.89, 2 Sb 3.04
Nb  0.5000  0.5000  0.5000 [1 per cell]  4 Sb 4.09, 8 I 4.20
Sb  0.0000  0.0000  0.5000 [1 per cell]  2 Y 3.04
I  0.0000  0.5000  0.0000 [2 per cell]  2 Y 2.89

# Nd6P2IrSe3

A relaxed structure of Nd6P2IrSe3 (PBE, Alexandria).

Output
Volume ... 319 Å³/f.u.
Electronic total energy ... -155.10 eV for the cell shown

a b c (Å): 18.4348 4.1728 8.5355
angles (deg): 90.00 104.00 90.00
Last column: nearest neighbours and their distance in Å.
Space group C2/m (No. 12)
Symmetry-distinct sites (fractional):
Nd  0.0037  0.0000  0.2382 [4 per cell]  2 Ir 2.90, 1 P 2.92, 3 Se 3.07-3.10
Nd  0.1609  0.5000  0.0931 [4 per cell]  1 Ir 2.88, 2 P 2.92, 3 Se 3.04-3.08
Nd  0.1710  0.5000  0.5736 [4 per cell]  3 P 2.90, 3 Se 3.05-3.06
P  0.1670  0.0000  0.3360 [4 per cell]  6 Nd 2.90-2.92
Ir  0.0000  0.5000  0.0000 [2 per cell]  6 Nd 2.88-2.90
Se  0.0000  0.5000  0.5000 [2 per cell]  6 Nd 3.06-3.07
Se  0.1690  0.0000  0.8324 [4 per cell]  6 Nd 3.04-3.10

# HgRhS2O8

A relaxed structure of HgRhS2O8 (PBE, Alexandria).

Output
Volume ... 170 Å³/f.u.
Electronic total energy ... -133.64 eV for the cell shown

a b c (Å): 8.2164 5.2242 7.9470
angles (deg): 90.00 95.63 90.00
Last column: nearest neighbours and their distance in Å.
Space group C2/m (No. 12)
Symmetry-distinct sites (fractional):
Hg  0.0000  0.0000  0.0000 [2 per cell]  6 O 2.83-2.85
Rh  0.0000  0.0000  0.5000 [2 per cell]  6 O 2.06
S  0.1285  0.5000  0.3023 [4 per cell]  4 O 1.45-1.53
O  0.0176  0.2659  0.3114 [8 per cell]  1 S 1.53
O  0.1927  0.5000  0.1387 [4 per cell]  1 S 1.45
O  0.2490  0.5000  0.4549 [4 per cell]  1 S 1.49

# In2GaP2

A relaxed structure of In2GaP2 (PBE, Alexandria).

Output
Energy of formation ... 0.25 eV/atom
Volume ... 120 Å³/f.u.
Electronic total energy ... -36.15 eV for the cell shown

a b c (Å): 4.9535 4.9535 9.7953
angles (deg): 90.00 90.00 90.00
Last column: nearest neighbours and their distance in Å.
Space group I4/mmm (No. 139)
Symmetry-distinct sites (fractional):
In  0.0000  0.0000  0.1439 [4 per cell]  4 P 2.69, 1 In 2.82
Ga  0.0000  0.0000  0.5000 [2 per cell]  8 P 3.48, 10 In 3.49-3.78
P  0.0000  0.5000  0.2500 [4 per cell]  4 In 2.69